## i
The following is a PBE-GGA calculation of crystalline Nd3Dy4Mg at its relaxed geometry, from the Alexandria database.

Unit cell a=11.385 b=7.201 c=6.260 alpha=90.00 beta=90.00 gamma=90.00
Fractional coordinates of all 16 atoms:
Nd 0.000 0.130 0.000
Nd 0.242 0.122 0.654
Nd 0.258 0.878 0.154
Nd 0.500 0.870 0.500
Nd 0.742 0.878 0.154
Nd 0.758 0.122 0.654
Dy 0.000 0.385 0.472
Dy 0.000 0.625 0.987
Dy 0.244 0.624 0.648
Dy 0.256 0.376 0.148
Dy 0.500 0.375 0.487
Dy 0.500 0.615 0.972
Dy 0.744 0.376 0.148
Dy 0.756 0.624 0.648
Mg 0.000 0.870 0.488
Mg 0.500 0.130 0.988

Properties
**Density**: 7164 kg/m3
**Space group**: No. 31

## ii
The following is a PBE-GGA calculation of crystalline Nd3Dy4Mg at its relaxed geometry, from the Alexandria database.

Unit cell a=10.793 b=10.793 c=10.793 alpha=153.38 beta=153.04 gamma=38.25
Fractional coordinates of all 8 atoms:
Nd 0.000 0.000 0.000
Nd 0.375 0.875 0.500
Nd 0.625 0.125 0.500
Dy 0.126 0.626 0.500
Dy 0.248 0.248 0.000
Dy 0.752 0.752 0.000
Dy 0.874 0.374 0.500
Mg 0.500 0.500 0.000

Properties
**Density**: 7208 kg/m3
**Space group**: No. 71

What should be chosen as the least stable of them? Choose ii.